EuCu4Au (GGA-PBE, optimized geometry); calculated formation energy = -0.193 eV/atom; DOS(E_F) = 1.08 states/eV/atom; calculated volume = 15.9 Å³/atom
1.0
-3.247 -3.829 1.023
0.742 -4.616 -2.095
1.510 -3.928 2.923
Eu Au Cu
1 1 4
Cartesian
-0.249 -3.093 0.463
0.000 0.000 0.000
-1.384 -5.766 -0.315
-0.997 -5.419 2.214
-0.623 -7.745 1.158
1.013 -5.816 0.643